<i>
AgAs2Pd2 | GGA-PBE | optimized geometry

The structure belongs to space group I4/mmm (No. 139); the cell edges are 4.067, 4.067 and 11.564 Å and the angles 90.00°, 90.00° and 90.00°. The distinct sites, in fractional coordinates, are Ag at (0.000, 0.000, 0.000), As at (0.000, 0.500, 0.250) and Pd at (0.000, 0.000, 0.383).

The crystal system is tetragonal.

<ii>
AgAs2Pd2 | GGA-PBE | optimized geometry

The structure belongs to space group P4/mbm (No. 127); the cell edges are 7.406, 7.406 and 3.181 Å and the angles 90.00°, 90.00° and 90.00°. The distinct sites, in fractional coordinates, are Ag at (0.000, 0.000, 0.000), As at (0.158, 0.342, 0.500) and Pd at (0.138, 0.638, 0.000).

The crystal system is tetragonal.

Most favorable structure: <ii>. The second most favorable one is 0.165 eV/atom above it.

<i>
AgAs2Pd | GGA-PBE | optimized geometry

The structure belongs to space group Fm-3m (No. 225); the cell edges are 6.550, 6.550 and 6.550 Å and the angles 90.00°, 90.00° and 90.00°. The distinct sites, in fractional coordinates, are Ag at (0.000, 0.000, 0.000), As at (0.250, 0.250, 0.250) and Pd at (0.000, 0.000, 0.500).

The crystal system is cubic.

<ii>
AgAs2Pd | GGA-PBE | optimized geometry

The structure belongs to space group I-42d (No. 122); the cell edges are 6.507, 6.507 and 8.330 Å and the angles 90.00°, 90.00° and 90.00°. The distinct sites, in fractional coordinates, are Ag at (0.000, 0.000, 0.000), As at (0.229, 0.250, 0.625) and Pd at (0.000, 0.000, 0.500).

The crystal system is tetragonal.

Most favorable structure: <i>. The second most favorable one is 0.180 eV/atom above it.